(P)
# BaY2Br | the Alexandria database | GGA-PBE | optimized geometry
# Spin magnetization: 0.0 μB per formula unit
# ρ: 4.78 Mg/m³
data_BaY2Br
_cell_length_a 5.790
_cell_length_b 5.790
_cell_length_c 5.790
_cell_angle_alpha 60.00
_cell_angle_beta 60.00
_cell_angle_gamma 60.00
_symmetry_space_group_name_H-M 'P 1'
_symmetry_Int_Tables_number 1
loop_
_symmetry_equiv_pos_as_xyz
'x,y,z'
loop_
_atom_site_label
_atom_site_type_symbol
_atom_site_fract_x
_atom_site_fract_y
_atom_site_fract_z
Br1 Br 0.000 0.000 0.000
Y1 Y 0.250 0.250 0.250
Y2 Y 0.750 0.750 0.750
Ba1 Ba 0.500 0.500 0.500

***

(Q)
# BaY2Br | the Alexandria database | GGA-PBE | optimized geometry
# Spin magnetization: 0.0 μB per formula unit
# ρ: 4.75 Mg/m³
data_BaY2Br
_cell_length_a 3.716
_cell_length_b 3.716
_cell_length_c 11.254
_cell_angle_alpha 90.00
_cell_angle_beta 90.00
_cell_angle_gamma 117.35
_symmetry_space_group_name_H-M 'P 1'
_symmetry_Int_Tables_number 1
loop_
_symmetry_equiv_pos_as_xyz
'x,y,z'
loop_
_atom_site_label
_atom_site_type_symbol
_atom_site_fract_x
_atom_site_fract_y
_atom_site_fract_z
Y1 Y 0.000 0.000 0.962
Ba1 Ba 0.500 0.500 0.250
Br1 Br 0.500 0.500 0.750
Y2 Y 0.000 0.000 0.538

***

The winner here is (Q), beating the second structure by 0.517 eV/atom.

***

(P)
# BaY2Br | the Alexandria database | GGA-PBE | optimized geometry
# Spin magnetization: 0.0 μB per formula unit
# ρ: 4.42 Mg/m³
data_BaY2Br
_cell_length_a 7.098
_cell_length_b 7.098
_cell_length_c 7.098
_cell_angle_alpha 149.52
_cell_angle_beta 124.27
_cell_angle_gamma 64.85
_symmetry_space_group_name_H-M 'P 1'
_symmetry_Int_Tables_number 1
loop_
_symmetry_equiv_pos_as_xyz
'x,y,z'
loop_
_atom_site_label
_atom_site_type_symbol
_atom_site_fract_x
_atom_site_fract_y
_atom_site_fract_z
Y1 Y 0.031 0.031 0.000
Ba1 Ba 0.463 0.463 0.000
Y2 Y 0.781 0.281 0.500
Br1 Br 0.224 0.724 0.500

***

(Q)
# BaY2Br | the Alexandria database | GGA-PBE | optimized geometry
# Spin magnetization: 0.0 μB per formula unit
# ρ: 4.19 Mg/m³
data_BaY2Br
_cell_length_a 3.688
_cell_length_b 6.568
_cell_length_c 6.460
_cell_angle_alpha 90.00
_cell_angle_beta 90.00
_cell_angle_gamma 90.00
_symmetry_space_group_name_H-M 'P 1'
_symmetry_Int_Tables_number 1
loop_
_symmetry_equiv_pos_as_xyz
'x,y,z'
loop_
_atom_site_label
_atom_site_type_symbol
_atom_site_fract_x
_atom_site_fract_y
_atom_site_fract_z
Br1 Br 0.500 0.500 0.750
Ba1 Ba 0.500 0.500 0.250
Y1 Y 0.000 0.000 0.009
Y2 Y 0.000 0.000 0.491

***

The winner here is (P), beating the second structure by 0.200 eV/atom.

***

(P)
# BaY2Br | the Alexandria database | GGA-PBE | optimized geometry
# Spin magnetization: 0.0 μB per formula unit
# ρ: 4.91 Mg/m³
data_BaY2Br
_cell_length_a 11.056
_cell_length_b 11.056
_cell_length_c 11.056
_cell_angle_alpha 19.64
_cell_angle_beta 19.64
_cell_angle_gamma 19.64
_symmetry_space_group_name_H-M 'P 1'
_symmetry_Int_Tables_number 1
loop_
_symmetry_equiv_pos_as_xyz
'x,y,z'
loop_
_atom_site_label
_atom_site_type_symbol
_atom_site_fract_x
_atom_site_fract_y
_atom_site_fract_z
Y1 Y 0.486 0.486 0.486
Y2 Y 0.014 0.014 0.014
Br1 Br 0.750 0.750 0.750
Ba1 Ba 0.250 0.250 0.250

***

(Q)
# BaY2Br | the Alexandria database | GGA-PBE | optimized geometry
# Spin magnetization: 0.0 μB per formula unit
# ρ: 4.38 Mg/m³
data_BaY2Br
_cell_length_a 6.964
_cell_length_b 6.964
_cell_length_c 3.719
_cell_angle_alpha 90.00
_cell_angle_beta 90.00
_cell_angle_gamma 123.88
_symmetry_space_group_name_H-M 'P 1'
_symmetry_Int_Tables_number 1
loop_
_symmetry_equiv_pos_as_xyz
'x,y,z'
loop_
_atom_site_label
_atom_site_type_symbol
_atom_site_fract_x
_atom_site_fract_y
_atom_site_fract_z
Y1 Y 0.000 0.000 0.000
Br1 Br 0.000 0.500 0.500
Y2 Y 0.500 0.500 0.000
Ba1 Ba 0.500 0.000 0.500

***

(R)
# BaY2Br | the Alexandria database | GGA-PBE | optimized geometry
# Spin magnetization: 0.0 μB per formula unit
# ρ: 4.63 Mg/m³
data_BaY2Br
_cell_length_a 5.336
_cell_length_b 3.937
_cell_length_c 7.023
_cell_angle_alpha 73.81
_cell_angle_beta 90.00
_cell_angle_gamma 90.00
_symmetry_space_group_name_H-M 'P 1'
_symmetry_Int_Tables_number 1
loop_
_symmetry_equiv_pos_as_xyz
'x,y,z'
loop_
_atom_site_label
_atom_site_type_symbol
_atom_site_fract_x
_atom_site_fract_y
_atom_site_fract_z
Br1 Br 0.500 0.934 0.758
Ba1 Ba 0.000 0.530 0.563
Y1 Y 0.000 0.793 0.039
Y2 Y 0.500 0.243 0.140

***

The winner here is (P), beating the second structure by 0.046 eV/atom.

***

(P)
# BaY2Br | the Alexandria database | GGA-PBE | optimized geometry
# Spin magnetization: 0.0 μB per formula unit
# ρ: 4.00 Mg/m³
data_BaY2Br
_cell_length_a 8.338
_cell_length_b 8.338
_cell_length_c 8.338
_cell_angle_alpha 147.81
_cell_angle_beta 147.81
_cell_angle_gamma 46.16
_symmetry_space_group_name_H-M 'P 1'
_symmetry_Int_Tables_number 1
loop_
_symmetry_equiv_pos_as_xyz
'x,y,z'
loop_
_atom_site_label
_atom_site_type_symbol
_atom_site_fract_x
_atom_site_fract_y
_atom_site_fract_z
Ba1 Ba 0.250 0.750 0.500
Br1 Br 0.750 0.250 0.500
Y1 Y 0.000 0.000 0.000
Y2 Y 0.500 0.500 0.000

***

(Q)
# BaY2Br | the Alexandria database | GGA-PBE | optimized geometry
# Spin magnetization: 0.0 μB per formula unit
# ρ: 4.50 Mg/m³
data_BaY2Br
_cell_length_a 9.395
_cell_length_b 9.395
_cell_length_c 7.419
_cell_angle_alpha 50.71
_cell_angle_beta 50.71
_cell_angle_gamma 90.00
_symmetry_space_group_name_H-M 'P 1'
_symmetry_Int_Tables_number 1
loop_
_symmetry_equiv_pos_as_xyz
'x,y,z'
loop_
_atom_site_label
_atom_site_type_symbol
_atom_site_fract_x
_atom_site_fract_y
_atom_site_fract_z
Y1 Y 0.215 0.625 0.250
Ba1 Ba 0.000 0.000 0.000
Y2 Y 0.535 0.125 0.250
Y3 Y 0.875 0.785 0.750
Ba2 Ba 0.750 0.250 0.500
Y4 Y 0.375 0.465 0.750
Br1 Br 0.500 0.500 0.000
Br2 Br 0.250 0.750 0.500

***

(R)
# BaY2Br | the Alexandria database | GGA-PBE | optimized geometry
# Spin magnetization: 2.1 μB per formula unit
# ρ: 4.60 Mg/m³
data_BaY2Br
_cell_length_a 6.502
_cell_length_b 6.502
_cell_length_c 6.502
_cell_angle_alpha 133.36
_cell_angle_beta 133.36
_cell_angle_gamma 68.08
_symmetry_space_group_name_H-M 'P 1'
_symmetry_Int_Tables_number 1
loop_
_symmetry_equiv_pos_as_xyz
'x,y,z'
loop_
_atom_site_label
_atom_site_type_symbol
_atom_site_fract_x
_atom_site_fract_y
_atom_site_fract_z
Ba1 Ba 0.500 0.500 0.000
Y1 Y 0.250 0.750 0.500
Y2 Y 0.000 0.000 0.000
Br1 Br 0.750 0.250 0.500

***

The winner here is (Q), beating the second structure by 0.062 eV/atom.

***

(P)
# Ba2YBr7 | the Alexandria database | GGA-PBE | optimized geometry
# Spin magnetization: 0.0 μB per formula unit
# ρ: 4.48 Mg/m³
data_Ba2YBr7
_cell_length_a 16.509
_cell_length_b 7.354
_cell_length_c 11.263
_cell_angle_alpha 89.39
_cell_angle_beta 90.00
_cell_angle_gamma 90.00
_symmetry_space_group_name_H-M 'P 1'
_symmetry_Int_Tables_number 1
loop_
_symmetry_equiv_pos_as_xyz
'x,y,z'
loop_
_atom_site_label
_atom_site_type_symbol
_atom_site_fract_x
_atom_site_fract_y
_atom_site_fract_z
Ba1 Ba 0.720 0.270 0.454
Br1 Br 0.931 0.123 0.122
Br2 Br 0.960 0.304 0.787
Br3 Br 0.138 0.304 0.025
Br4 Br 0.604 0.001 0.931
Br5 Br 0.606 0.511 0.919
Y1 Y 0.128 0.220 0.779
Br6 Br 0.040 0.696 0.213
Y2 Y 0.372 0.220 0.279
Br7 Br 0.725 0.999 0.210
Br8 Br 0.894 0.511 0.419
Br9 Br 0.740 0.508 0.202
Br10 Br 0.760 0.508 0.702
Br11 Br 0.106 0.489 0.581
Br12 Br 0.362 0.304 0.525
Br13 Br 0.260 0.492 0.798
Br14 Br 0.862 0.696 0.975
Br15 Br 0.396 0.999 0.069
Y3 Y 0.872 0.780 0.221
Br16 Br 0.394 0.489 0.081
Ba2 Ba 0.059 0.269 0.324
Br17 Br 0.225 0.001 0.290
Ba3 Ba 0.280 0.730 0.546
Br18 Br 0.460 0.696 0.713
Br19 Br 0.775 0.999 0.710
Ba4 Ba 0.780 0.270 0.954
Br20 Br 0.431 0.877 0.378
Br21 Br 0.069 0.877 0.878
Br22 Br 0.896 0.001 0.431
Br23 Br 0.569 0.123 0.622
Br24 Br 0.540 0.304 0.287
Br25 Br 0.638 0.696 0.475
Ba5 Ba 0.441 0.269 0.824
Br26 Br 0.275 0.001 0.790
Ba6 Ba 0.559 0.731 0.176
Ba7 Ba 0.220 0.730 0.046
Br27 Br 0.104 0.999 0.569
Ba8 Ba 0.941 0.731 0.676
Br28 Br 0.240 0.492 0.298
Y4 Y 0.628 0.780 0.721

***

(Q)
# Ba2YBr7 | the Alexandria database | GGA-PBE | optimized geometry
# Spin magnetization: 0.0 μB per formula unit
# ρ: 4.02 Mg/m³
data_Ba2YBr7
_cell_length_a 12.563
_cell_length_b 12.563
_cell_length_c 12.882
_cell_angle_alpha 61.39
_cell_angle_beta 61.39
_cell_angle_gamma 65.98
_symmetry_space_group_name_H-M 'P 1'
_symmetry_Int_Tables_number 1
loop_
_symmetry_equiv_pos_as_xyz
'x,y,z'
loop_
_atom_site_label
_atom_site_type_symbol
_atom_site_fract_x
_atom_site_fract_y
_atom_site_fract_z
Br1 Br 0.983 0.550 0.847
Br2 Br 0.266 0.883 0.577
Br3 Br 0.619 0.212 0.698
Ba1 Ba 0.259 0.892 0.938
Ba2 Ba 0.441 0.317 0.532
Br4 Br 0.017 0.450 0.153
Y1 Y 0.321 0.026 0.320
Br5 Br 0.033 0.095 0.820
Br6 Br 0.248 0.202 0.865
Br7 Br 0.905 0.967 0.680
Br8 Br 0.550 0.983 0.347
Br9 Br 0.883 0.266 0.077
Br10 Br 0.967 0.905 0.180
Br11 Br 0.144 0.449 0.561
Br12 Br 0.449 0.144 0.061
Br13 Br 0.752 0.798 0.135
Br14 Br 0.474 0.650 0.838
Br15 Br 0.117 0.734 0.923
Br16 Br 0.450 0.017 0.653
Br17 Br 0.650 0.474 0.338
Ba3 Ba 0.108 0.741 0.562
Br18 Br 0.734 0.117 0.423
Y2 Y 0.974 0.679 0.180
Ba4 Ba 0.317 0.441 0.032
Br19 Br 0.856 0.551 0.439
Br20 Br 0.526 0.350 0.162
Br21 Br 0.788 0.381 0.802
Br22 Br 0.212 0.619 0.198
Br23 Br 0.381 0.788 0.302
Y3 Y 0.026 0.321 0.820
Br24 Br 0.095 0.033 0.320
Y4 Y 0.679 0.974 0.680
Ba5 Ba 0.683 0.559 0.968
Br25 Br 0.202 0.248 0.365
Br26 Br 0.798 0.752 0.635
Ba6 Ba 0.892 0.259 0.438
Ba7 Ba 0.741 0.108 0.062
Br27 Br 0.551 0.856 0.939
Br28 Br 0.350 0.526 0.662
Ba8 Ba 0.559 0.683 0.468

***

(R)
# Ba2YBr7 | the Alexandria database | GGA-PBE | optimized geometry
# Spin magnetization: 0.0 μB per formula unit
# ρ: 4.45 Mg/m³
data_Ba2YBr7
_cell_length_a 9.872
_cell_length_b 9.872
_cell_length_c 11.501
_cell_angle_alpha 55.62
_cell_angle_beta 55.62
_cell_angle_gamma 52.16
_symmetry_space_group_name_H-M 'P 1'
_symmetry_Int_Tables_number 1
loop_
_symmetry_equiv_pos_as_xyz
'x,y,z'
loop_
_atom_site_label
_atom_site_type_symbol
_atom_site_fract_x
_atom_site_fract_y
_atom_site_fract_z
Br1 Br 0.071 0.747 0.053
Br2 Br 0.054 0.321 0.169
Y1 Y 0.064 0.936 0.750
Br3 Br 0.679 0.946 0.331
Br4 Br 0.253 0.929 0.447
Br5 Br 0.747 0.071 0.553
Ba1 Ba 0.284 0.321 0.307
Ba2 Ba 0.321 0.284 0.807
Y2 Y 0.936 0.064 0.250
Br6 Br 0.592 0.408 0.250
Br7 Br 0.408 0.592 0.750
Br8 Br 0.906 0.331 0.574
Br9 Br 0.331 0.906 0.074
Ba3 Ba 0.716 0.679 0.693
Br10 Br 0.929 0.253 0.947
Br11 Br 0.321 0.054 0.669
Br12 Br 0.669 0.094 0.926
Br13 Br 0.094 0.669 0.426
Ba4 Ba 0.679 0.716 0.193
Br14 Br 0.946 0.679 0.831

***

The winner here is (P), beating the second structure by 0.016 eV/atom.

***

(P)
# BaZn2Br2 | the Alexandria database | GGA-PBE | optimized geometry
# Spin magnetization: 0.0 μB per formula unit
# ρ: 3.48 Mg/m³
data_BaZn2Br2
_cell_length_a 8.365
_cell_length_b 8.365
_cell_length_c 5.840
_cell_angle_alpha 90.00
_cell_angle_beta 90.00
_cell_angle_gamma 90.00
_symmetry_space_group_name_H-M 'P 1'
_symmetry_Int_Tables_number 1
loop_
_symmetry_equiv_pos_as_xyz
'x,y,z'
loop_
_atom_site_label
_atom_site_type_symbol
_atom_site_fract_x
_atom_site_fract_y
_atom_site_fract_z
Zn1 Zn 0.883 0.383 0.500
Zn2 Zn 0.383 0.117 0.500
Zn3 Zn 0.117 0.617 0.500
Ba1 Ba 0.000 0.000 0.000
Br1 Br 0.338 0.838 0.000
Br2 Br 0.838 0.662 0.000
Br3 Br 0.162 0.338 0.000
Br4 Br 0.662 0.162 0.000
Zn4 Zn 0.617 0.883 0.500
Ba2 Ba 0.500 0.500 0.000

***

(Q)
# BaZn2Br2 | the Alexandria database | GGA-PBE | optimized geometry
# Spin magnetization: 0.0 μB per formula unit
# ρ: 4.40 Mg/m³
data_BaZn2Br2
_cell_length_a 3.956
_cell_length_b 3.956
_cell_length_c 10.684
_cell_angle_alpha 79.33
_cell_angle_beta 79.33
_cell_angle_gamma 90.00
_symmetry_space_group_name_H-M 'P 1'
_symmetry_Int_Tables_number 1
loop_
_symmetry_equiv_pos_as_xyz
'x,y,z'
loop_
_atom_site_label
_atom_site_type_symbol
_atom_site_fract_x
_atom_site_fract_y
_atom_site_fract_z
Br1 Br 0.412 0.412 0.177
Zn1 Zn 0.250 0.750 0.500
Zn2 Zn 0.750 0.250 0.500
Ba1 Ba 0.000 0.000 0.000
Br2 Br 0.588 0.588 0.823

***

The winner here is (Q), beating the second structure by 0.205 eV/atom.

***

(P)
# Ba2Zn2Br | the Alexandria database | GGA-PBE | optimized geometry
# Spin magnetization: 0.0 μB per formula unit
# ρ: 4.75 Mg/m³
data_Ba2Zn2Br
_cell_length_a 4.649
_cell_length_b 4.649
_cell_length_c 9.453
_cell_angle_alpha 90.04
_cell_angle_beta 104.19
_cell_angle_gamma 120.00
_symmetry_space_group_name_H-M 'P 1'
_symmetry_Int_Tables_number 1
loop_
_symmetry_equiv_pos_as_xyz
'x,y,z'
loop_
_atom_site_label
_atom_site_type_symbol
_atom_site_fract_x
_atom_site_fract_y
_atom_site_fract_z
Ba1 Ba 0.161 0.581 0.742
Zn1 Zn 0.334 0.167 0.501
Zn2 Zn 0.666 0.833 0.499
Br1 Br 0.000 0.000 0.000
Ba2 Ba 0.839 0.419 0.258

***

(Q)
# Ba2Zn2Br | the Alexandria database | GGA-PBE | optimized geometry
# Spin magnetization: 0.0 μB per formula unit
# ρ: 4.21 Mg/m³
data_Ba2Zn2Br
_cell_length_a 9.254
_cell_length_b 9.254
_cell_length_c 4.471
_cell_angle_alpha 90.00
_cell_angle_beta 90.00
_cell_angle_gamma 90.00
_symmetry_space_group_name_H-M 'P 1'
_symmetry_Int_Tables_number 1
loop_
_symmetry_equiv_pos_as_xyz
'x,y,z'
loop_
_atom_site_label
_atom_site_type_symbol
_atom_site_fract_x
_atom_site_fract_y
_atom_site_fract_z
Ba1 Ba 0.199 0.301 0.000
Ba2 Ba 0.301 0.801 0.000
Zn1 Zn 0.092 0.592 0.500
Zn2 Zn 0.592 0.908 0.500
Br1 Br 0.500 0.500 0.000
Zn3 Zn 0.908 0.408 0.500
Zn4 Zn 0.408 0.092 0.500
Br2 Br 0.000 0.000 0.000
Ba3 Ba 0.801 0.699 0.000
Ba4 Ba 0.699 0.199 0.000

***

The winner here is (P), beating the second structure by 0.210 eV/atom.

***

(P)
# BaZrBr | the Alexandria database | GGA-PBE | optimized geometry
# Spin magnetization: 0.4 μB per formula unit
# ρ: 5.53 Mg/m³
data_BaZrBr
_cell_length_a 3.682
_cell_length_b 3.682
_cell_length_c 7.895
_cell_angle_alpha 90.00
_cell_angle_beta 90.00
_cell_angle_gamma 120.00
_symmetry_space_group_name_H-M 'P 1'
_symmetry_Int_Tables_number 1
loop_
_symmetry_equiv_pos_as_xyz
'x,y,z'
loop_
_atom_site_label
_atom_site_type_symbol
_atom_site_fract_x
_atom_site_fract_y
_atom_site_fract_z
Br1 Br 0.667 0.333 0.383
Zr1 Zr 0.333 0.667 0.624
Ba1 Ba 0.000 0.000 0.993

***

(Q)
# BaZrBr | the Alexandria database | GGA-PBE | optimized geometry
# Spin magnetization: 3.2 μB per formula unit
# ρ: 3.56 Mg/m³
data_BaZrBr
_cell_length_a 5.879
_cell_length_b 5.879
_cell_length_c 5.879
_cell_angle_alpha 60.00
_cell_angle_beta 60.00
_cell_angle_gamma 60.00
_symmetry_space_group_name_H-M 'P 1'
_symmetry_Int_Tables_number 1
loop_
_symmetry_equiv_pos_as_xyz
'x,y,z'
loop_
_atom_site_label
_atom_site_type_symbol
_atom_site_fract_x
_atom_site_fract_y
_atom_site_fract_z
Br1 Br 0.000 0.000 0.000
Zr1 Zr 0.500 0.500 0.500
Ba1 Ba 0.750 0.750 0.750

***

(R)
# BaZrBr | the Alexandria database | GGA-PBE | optimized geometry
# Spin magnetization: 1.0 μB per formula unit
# ρ: 5.65 Mg/m³
data_BaZrBr
_cell_length_a 7.591
_cell_length_b 7.591
_cell_length_c 7.591
_cell_angle_alpha 152.91
_cell_angle_beta 152.91
_cell_angle_gamma 38.69
_symmetry_space_group_name_H-M 'P 1'
_symmetry_Int_Tables_number 1
loop_
_symmetry_equiv_pos_as_xyz
'x,y,z'
loop_
_atom_site_label
_atom_site_type_symbol
_atom_site_fract_x
_atom_site_fract_y
_atom_site_fract_z
Ba1 Ba 0.998 0.998 0.000
Br1 Br 0.309 0.309 0.000
Zr1 Zr 0.692 0.692 0.000

***

The winner here is (P), beating the second structure by 0.112 eV/atom.